VASP calculation (PBE) on crystalline AuSe2BrN at its relaxed geometry.

Output
Distance to the lowest polymorph of the same formula in meV/atom: 0
ρ in g/cm3: 8.01
Raw formation energy in kJ per mole of atoms: 111.2
V in Å³/cell: 93.1
Size of the total moment in Bohr magnetons per cell: 0.0

a = 4.5527 Å, b = 4.5527 Å, c = 4.4913 Å
α = 90.00°, β = 90.00°, γ = 90.00°
Closest atoms and distances in Å follow each position.
Space group P4/mmm (No. 123)
Asymmetric unit:
Au1 0.0000 0.0000 0.0000  8 Se 3.20, 4 Br 3.22
Se1 0.0000 0.5000 0.5000  2 N 2.28
Br1 0.5000 0.5000 0.0000  2 N 2.25
N1 0.5000 0.5000 0.5000  2 Br 2.25, 4 Se 2.28